Entry 1:
A relaxed Li2HfTlB crystal, computed with PBE.

Values from the calculation:
**V**: 87.7 Å³ per cell
**Energy**: -3.8456 eV per atom
**E_form**: 3.597 eV per formula unit
**Total moment**: 0.0 μB per formula unit

Cell: 4.2973 4.2973 4.7486 Å, 90.00 90.00 90.00°
Last column: nearest neighbours and their distance in Å.
Space group P4/mmm (No. 123)
One atom of each set of equivalent atoms:
Li (0.0000, 0.5000, 0.0000)  2 B 2.15
Hf (0.0000, 0.0000, 0.5000)  4 Tl 3.04, 8 Li 3.20
Tl (0.5000, 0.5000, 0.5000)  2 B 2.37
B (0.5000, 0.5000, 0.0000)  4 Li 2.15, 2 Tl 2.37

Entry 2:
A relaxed LiHfB2W crystal, computed with PBE.

Values from the calculation:
**V**: 61.5 Å³ per cell
**Energy**: -6.4111 eV per atom
**E_form**: 6.120 eV per formula unit
**Total moment**: 0.0 μB per formula unit

Cell: 3.8784 3.8784 4.0858 Å, 90.00 90.00 90.00°
Last column: nearest neighbours and their distance in Å.
Space group P4/mmm (No. 123)
One atom of each set of equivalent atoms:
Li (0.0000, 0.0000, 0.0000)  4 B 1.94, 2 W 2.04
Hf (0.5000, 0.5000, 0.5000)  4 W 2.74, 8 B 2.82
B (0.0000, 0.5000, 0.0000)  2 Li 1.94
W (0.0000, 0.0000, 0.5000)  2 Li 2.04

Entry 3:
A relaxed LiY2HfB crystal, computed with PBE.

Values from the calculation:
**V**: 107.4 Å³ per cell
**Energy**: -5.4197 eV per atom
**E_form**: 4.374 eV per formula unit
**Total moment**: 2.2 μB per formula unit

Cell: 5.2296 5.2296 3.9266 Å, 90.00 90.00 90.00°
Last column: nearest neighbours and their distance in Å.
Space group P4/mmm (No. 123)
One atom of each set of equivalent atoms:
Li (0.0000, 0.0000, 0.0000)  2 B 1.96
Y (0.0000, 0.5000, 0.0000)  2 Li 2.61
Hf (0.5000, 0.5000, 0.5000)  8 Y 3.27
B (0.0000, 0.0000, 0.5000)  2 Li 1.96

Entry 4:
A relaxed HfMg6B crystal, computed with PBE.

Values from the calculation:
**E above lowest polymorph**: 0 meV per atom
**V**: 327.0 Å³ per cell
**Energy**: -3.0986 eV per atom
**E_form**: 1.410 eV per formula unit
**Total moment**: 0.0 μB per formula unit

Cell: 3.8421 8.4585 10.0609 Å, 90.00 90.00 90.00°
Last column: nearest neighbours and their distance in Å.
Space group Amm2 (No. 38)
One atom of each set of equivalent atoms:
Hf (0.0000, 0.0000, 0.0000)  2 B 2.37
Mg (0.0000, 0.0000, 0.4481)  6 Mg 2.83-2.92
Mg (0.0000, 0.1828, 0.7408)  2 B 2.75, 1 Hf 3.03
Mg (0.5000, 0.0000, 0.2299)  4 Mg 2.92-3.25, 2 Hf 3.01
Mg (0.5000, 0.2404, 0.4918)  1 B 2.55, 2 Mg 2.83
B (0.5000, 0.0000, 0.8623)  2 Hf 2.37, 2 Mg 2.55

Entry 5:
A relaxed Hf3MgB crystal, computed with PBE.

Values from the calculation:
**E above lowest polymorph**: 0 meV per atom
**V**: 99.8 Å³ per cell
**Energy**: -7.7728 eV per atom
**E_form**: -0.732 eV per formula unit
**Total moment**: 0.0 μB per formula unit

Cell: 4.6385 4.6385 4.6385 Å, 90.00 90.00 90.00°
Last column: nearest neighbours and their distance in Å.
Space group Pm-3m (No. 221)
One atom of each set of equivalent atoms:
Hf (0.0000, 0.0000, 0.5000)  2 B 2.32
Mg (0.5000, 0.5000, 0.5000)  12 Hf 3.28
B (0.0000, 0.0000, 0.0000)  6 Hf 2.32

Entry 6:
A relaxed HfMg3B crystal, computed with PBE.

Values from the calculation:
**E above lowest polymorph**: 0 meV per atom
**V**: 95.4 Å³ per cell
**Energy**: -3.7346 eV per atom
**E_form**: 2.742 eV per formula unit
**Total moment**: 0.0 μB per formula unit

Cell: 4.5688 4.5688 4.5688 Å, 90.00 90.00 90.00°
Last column: nearest neighbours and their distance in Å.
Space group Pm-3m (No. 221)
One atom of each set of equivalent atoms:
Hf (0.0000, 0.0000, 0.0000)  12 Mg 3.23
Mg (0.0000, 0.5000, 0.5000)  2 B 2.28
B (0.5000, 0.5000, 0.5000)  6 Mg 2.28